(1)
# PBE ZnCr2Cu, relaxed
# - Formation energy from the elements: 241 meV per atom
# - Calculated density: 7.2 Mg/m³
# - D(E_F): 12.6 states/eV per cell
data_ZnCr2Cu
_chemical_formula_sum 'Zn4 Cr8 Cu4'
_symmetry_space_group_name_H-M 'F -4 3 m'
_symmetry_Int_Tables_number 216
_symmetry_space_group_name_Hall 'F -4 2 3'
_cell_length_a 5.980
_cell_length_b 5.980
_cell_length_c 5.980
_cell_angle_alpha 90.00
_cell_angle_beta 90.00
_cell_angle_gamma 90.00
loop_
_atom_site_label
_atom_site_fract_x
_atom_site_fract_y
_atom_site_fract_z
Zn1 0.000 0.000 0.000
Cr1 0.000 0.000 0.500
Cr2 0.250 0.250 0.750
Cu1 0.250 0.250 0.250

---

(2)
# PBE ErTlTe2, relaxed
# - ΔE_f (raw): -1.03 eV/atom
# - Calculated density: 7.4 Mg/m³
data_ErTlTe2
_chemical_formula_sum 'Er3 Tl3 Te6'
_symmetry_space_group_name_H-M 'R 3 m'
_symmetry_Int_Tables_number 160
_symmetry_space_group_name_Hall 'R 3 -2"'
_cell_length_a 4.4003
_cell_length_b 4.4003
_cell_length_c 25.0238
_cell_angle_alpha 90.00
_cell_angle_beta 90.00
_cell_angle_gamma 120.00
loop_
_atom_site_label
_atom_site_fract_x
_atom_site_fract_y
_atom_site_fract_z
Er1 0.0000 0.0000 0.0000
Tl1 0.0000 0.0000 0.8319
Te1 0.0000 0.0000 0.4027
Te2 0.0000 0.0000 0.5967